[1]
# Pr2Cd4PtAu

A relaxed Pr2Cd4PtAu crystal (PBE-GGA, OQMD).

```
Pr2Cd4PtAu
1.0
-5.2935 3.2988 -5.6291
-2.9981 2.2507 4.1383
0.1956 4.8929 2.6835
Au Cd Pr Pt
1 4 2 1
Direct
0.0000 0.2732 0.2732
0.3043 0.1405 0.1405
0.6957 0.1405 0.1405
0.2039 0.8605 0.8605
0.7961 0.8605 0.8605
0.5000 0.4324 0.4324
0.0000 0.5668 0.5668
0.5000 0.7256 0.7256
```

## Properties
E_form: -0.574 eV per atom
Volume: 23.68 A^3/atom

[2]
# PrTmCd2Au4

A relaxed PrTmCd2Au4 crystal (PBE-GGA, OQMD).

```
PrTmCd2Au4
1.0
4.9764 0.0000 0.0000
0.0000 4.9764 0.0000
0.0000 0.0000 7.0335
Au Cd Pr Tm
4 2 1 1
Direct
0.5000 0.0000 0.2665
0.0000 0.5000 0.2665
0.5000 0.0000 0.7335
0.0000 0.5000 0.7335
0.5000 0.5000 0.0000
0.0000 0.0000 0.5000
0.0000 0.0000 0.0000
0.5000 0.5000 0.5000
```

## Properties
E_form: -0.655 eV per atom
Volume: 21.77 A^3/atom

[3]
# PrY2Cd3Au3

A relaxed PrY2Cd3Au3 crystal (PBE-GGA, OQMD).

```
PrY2Cd3Au3
1.0
-1.4807 2.5214 2.6768
-7.1551 -0.8254 -3.1803
2.3428 -4.7816 5.7999
Au Cd Pr Y
3 3 1 2
Direct
0.0000 0.0022 0.0022
0.5000 0.6678 0.3282
0.5000 0.3282 0.6678
0.5000 0.7400 0.0028
0.5000 0.2584 0.2584
0.5000 0.0028 0.7400
0.0000 0.5958 0.5958
0.0000 0.4044 0.0005
0.0000 0.0005 0.4044
```

## Properties
E_form: -0.663 eV per atom
Volume: 23.58 A^3/atom

[4]
# PrZrCd2Au4

A relaxed PrZrCd2Au4 crystal (PBE-GGA, OQMD).

```
PrZrCd2Au4
1.0
4.9439 0.0000 0.0000
0.0000 4.9439 0.0000
0.0000 0.0000 6.9233
Au Cd Pr Zr
4 2 1 1
Direct
0.5000 0.0000 0.2728
0.0000 0.5000 0.2728
0.5000 0.0000 0.7272
0.0000 0.5000 0.7272
0.5000 0.5000 0.0000
0.0000 0.0000 0.5000
0.0000 0.0000 0.0000
0.5000 0.5000 0.5000
```

## Properties
E_form: -0.545 eV per atom
Volume: 21.15 A^3/atom

[5]
# CdPt2Au2

A relaxed CdPt2Au2 crystal (PBE-GGA, OQMD).

```
CdPt2Au2
1.0
-1.9429 1.9429 6.4742
1.9429 -1.9429 6.4742
1.9429 1.9429 -6.4742
Au Cd Pt
2 1 2
Direct
0.7500 0.2500 0.5000
0.2500 0.7500 0.5000
0.0000 0.0000 0.0000
0.4025 0.4025 0.0000
0.5975 0.5975 0.0000
```

## Properties
E_form: 0.113 eV per atom
Volume: 19.55 A^3/atom

[6]
# Cd2PtAu2

A relaxed Cd2PtAu2 crystal (PBE-GGA, OQMD).

```
Cd2PtAu2
1.0
-3.9621 -0.0814 0.3159
0.2818 -2.7938 2.8142
2.1046 5.9860 2.9238
Au Cd Pt
2 2 1
Direct
0.6004 0.6004 0.2009
0.3996 0.3996 0.7991
0.7500 0.2500 0.5000
0.2500 0.7500 0.5000
0.0000 0.0000 0.0000
```

## Properties
E_form: 0.242 eV per atom
Volume: 20.22 A^3/atom

[7]
# Cd2Pt2Au

A relaxed Cd2Pt2Au crystal (PBE-GGA, OQMD).

```
Cd2Pt2Au
1.0
-2.0366 2.0366 6.1024
2.0366 -2.0366 6.1024
2.0366 2.0366 -6.1024
Au Cd Pt
1 2 2
Direct
0.0000 0.0000 0.0000
0.7500 0.2500 0.5000
0.2500 0.7500 0.5000
0.3967 0.3967 0.0000
0.6033 0.6033 0.0000
```

## Properties
E_form: 0.151 eV per atom
Volume: 20.25 A^3/atom

[8]
# Cd2Pt2Au

A relaxed Cd2Pt2Au crystal (PBE-GGA, OQMD).

```
Cd2Pt2Au
1.0
-0.1044 2.5481 6.6888
-2.7929 5.7399 3.2398
-0.8252 -5.5280 -4.4725
Au Cd Pt
1 2 2
Direct
0.0000 0.0000 0.0000
0.3993 0.3993 0.0000
0.6007 0.6007 0.0000
0.7500 0.2500 0.5000
0.2500 0.7500 0.5000
```

## Properties
E_form: 0.028 eV per atom
Volume: 19.42 A^3/atom